Mg4Pd7Pb, relaxed, DFT GGA-PBE; calculated density = 7.9 Mg/m³; formation energy = -364 meV per atom; total magnetization = 0.00 μB per formula unit; crystal system = monoclinic
1.0
-3.3686 -2.4569 2.7666
2.8300 -8.2189 0.6721
1.1816 -0.2341 5.7559
Mg Pd Pb
4 7 1
Cartesian
-0.6236 -3.4781 5.2020
1.2667 -7.4318 3.9926
0.2976 -7.5219 7.2576
0.3455 -3.3880 1.9370
0.5630 -9.6146 5.7224
0.0801 -1.2953 3.4723
1.9161 -5.6072 1.8786
-1.2730 -5.3027 7.3160
1.1696 -5.3707 5.7047
-1.6843 -1.2284 1.3833
-0.5265 -5.5391 3.4900
0.0000 0.0000 0.0000

MgPd4Pb2, relaxed, DFT GGA-PBE; calculated density = 10.9 Mg/m³; formation energy = -295 meV per atom; total magnetization = 0.00 μB per formula unit; crystal system = triclinic
1.0
-1.5982 5.8099 -1.6315
-1.9696 -0.6090 6.2531
7.6483 0.2211 -0.7099
Mg Pd Pb
2 8 4
Cartesian
2.1014 1.8151 3.6219
5.7418 -0.1555 4.7657
-0.1394 5.6527 -0.0102
-0.6220 1.2497 3.0008
1.4769 4.9980 2.4292
4.6668 4.8843 -1.2838
0.6025 0.7077 5.5608
5.5401 1.9380 -0.4113
4.7455 2.8921 3.6538
-1.6249 4.4227 2.0092
3.5505 3.4679 0.9917
-0.2592 3.7404 4.3018
0.3756 2.8175 0.7968
4.3553 0.6295 1.8822

Mg7PdPb2, relaxed, DFT GGA-PBE; calculated density = 5.0 Mg/m³; distance to the lowest polymorph of the same formula = 0.00 eV per formula unit; formation energy = -208 meV per atom; total magnetization = 0.00 μB per formula unit; crystal system = monoclinic
1.0
-7.6754 -3.3110 -0.5785
-2.1369 -4.3848 -7.2350
-1.0987 -8.2853 1.3161
Mg Pd Pb
14 2 4
Cartesian
-7.3638 -11.8617 -3.0527
-7.4412 -6.2579 -0.2210
-4.6599 -12.2967 -5.4866
-3.9281 -6.6072 -0.9521
-6.4208 -9.4941 -1.2032
-8.6522 -8.3818 -2.9500
-2.6087 -9.6611 -0.9791
-8.3023 -6.3200 -5.5182
-2.2587 -7.5994 -3.5474
-4.4901 -6.4870 -5.2941
-6.9829 -9.3739 -5.5452
-6.2511 -3.6844 -1.0107
-3.4697 -9.7232 -6.2763
-3.5471 -4.1194 -3.4447
-9.0138 -10.6126 -1.3986
-1.8972 -5.3685 -5.0987
-7.7140 -12.6386 -5.9123
-6.2796 -6.3826 -2.9667
-4.6313 -9.5985 -3.5306
-3.1969 -3.3426 -0.5850

Mg2PdPb, relaxed, DFT GGA-PBE; calculated density = 7.2 Mg/m³; formation energy = -403 meV per atom; total magnetization = 0.00 μB per formula unit; crystal system = tetragonal
1.0
3.3226 0.0000 0.0000
0.0000 3.3226 0.0000
0.0000 0.0000 7.6056
Pb Mg Pd
1 2 1
Cartesian
1.6613 1.6613 3.8028
0.0000 0.0000 6.1146
0.0000 0.0000 1.4910
1.6613 1.6613 0.0000

MgPd2Pb2, relaxed, DFT GGA-PBE; calculated density = 10.0 Mg/m³; distance to the lowest polymorph of the same formula = 0.00 eV per formula unit; formation energy = -284 meV per atom; total magnetization = 0.00 μB per formula unit; crystal system = tetragonal
1.0
7.2146 0.0000 0.0000
0.0000 7.2146 0.0000
0.0000 0.0000 4.1561
Pb Mg Pd
4 2 4
Cartesian
1.1855 4.7928 2.0780
4.7928 6.0291 2.0780
6.0291 2.4218 2.0780
2.4218 1.1855 2.0780
0.0000 0.0000 0.0000
3.6073 3.6073 0.0000
2.5866 6.1939 0.0000
6.1939 4.6280 0.0000
4.6280 1.0207 0.0000
1.0207 2.5866 0.0000

Mg12Pd6Pb, relaxed, DFT GGA-PBE; calculated density = 5.4 Mg/m³; formation energy = -429 meV per atom; total magnetization = 0.00 μB per formula unit; crystal system = trigonal
1.0
7.6952 -0.9191 -1.1010
-2.0751 7.4669 -1.1010
-2.0751 -2.4176 7.1500
Mg Pd Pb
12 6 1
Cartesian
3.7510 2.8486 2.0352
0.9075 3.9341 3.1664
2.2470 1.2628 4.4366
-0.2059 1.2817 2.9127
2.6376 0.1962 1.7815
1.2981 2.8675 0.5114
4.5092 4.6433 0.0261
-0.3609 5.0268 -0.1347
5.0234 -0.2050 0.3747
-0.9642 -0.5130 4.9218
3.9060 -0.8965 5.0827
-1.4783 4.3352 4.5732
2.2065 5.4424 1.3461
3.5317 1.8959 -0.6474
-1.4999 3.3430 1.7497
1.3385 -1.3121 3.6019
0.0133 2.2344 5.5953
5.0449 0.7872 3.1983
0.0000 0.0000 0.0000

Mg4Pd2Pb, relaxed, DFT GGA-PBE; calculated density = 6.2 Mg/m³; formation energy = -378 meV per atom; total magnetization = 0.00 μB per formula unit; crystal system = orthorhombic
1.0
4.7394 0.0017 0.0000
-2.3673 4.1058 0.0000
0.0000 0.0000 14.3336
Mg Pd Pb
8 4 2
Cartesian
-1.1658 3.4119 12.5785
-1.1658 3.4119 8.9220
3.5379 0.6956 1.7552
3.5379 0.6956 5.4117
-1.2172 3.4416 3.5834
3.5893 0.6659 10.7502
1.1860 2.0538 0.0000
1.1860 2.0538 7.1668
3.5587 0.6835 8.0296
-1.1866 3.4240 0.8628
3.5587 0.6835 13.4708
-1.1866 3.4240 6.3040
1.1530 2.0729 3.5834
1.2191 2.0346 10.7502

Mg6Pd5Pb, relaxed, DFT GGA-PBE; calculated density = 7.0 Mg/m³; formation energy = -592 meV per atom; total magnetization = 0.00 μB per formula unit; crystal system = monoclinic
1.0
-2.7048 -1.6103 3.2421
4.1373 -5.3376 0.8019
2.8611 6.9431 2.6143
Pb Mg Pd
1 6 5
Cartesian
0.0000 0.0000 0.0000
1.9357 0.2077 4.8289
0.0028 2.7007 4.4539
1.6244 -4.6455 2.1981
2.6692 4.6407 4.4602
4.2908 -2.7055 2.2044
2.3579 -0.2125 1.8294
-0.1949 0.3179 3.1253
2.3616 2.2926 3.0704
2.0687 -2.6688 0.4009
1.9320 -2.2974 3.5878
4.4885 -0.3226 3.5330